Entry 1:
# Pm5ThSn8, optimized geometry, DFT PBE
data_Pm5ThSn8
_chemical_formula_sum 'Pm10 Th2 Sn16'
_symmetry_space_group_name_H-M 'I -4'
_symmetry_Int_Tables_number 82
_symmetry_space_group_name_Hall 'I -4'
_cell_length_a 9.2558
_cell_length_b 9.2558
_cell_length_c 9.7043
_cell_angle_alpha 90.00
_cell_angle_beta 90.00
_cell_angle_gamma 90.00
loop_
_atom_site_label
_atom_site_fract_x
_atom_site_fract_y
_atom_site_fract_z
Pm1 0.0000 0.0000 0.0000
Pm2 0.1298 0.7718 0.3823
Th1 0.0000 0.5000 0.7500
Sn1 0.0747 0.6555 0.0552
Sn2 0.0979 0.8294 0.7099
# energy of formation	-7.44	eV/f.u.
# raw total energy	-141.26	eV per cell

***

Entry 2:
# KAcAs2O6, optimized geometry, DFT PBE
data_KAcAs2O6
_chemical_formula_sum 'K3 Ac3 As6 O18'
_symmetry_space_group_name_H-M 'R -3'
_symmetry_Int_Tables_number 148
_symmetry_space_group_name_Hall '-R 3'
_cell_length_a 5.9561
_cell_length_b 5.9561
_cell_length_c 18.7514
_cell_angle_alpha 90.00
_cell_angle_beta 90.00
_cell_angle_gamma 120.00
loop_
_atom_site_label
_atom_site_fract_x
_atom_site_fract_y
_atom_site_fract_z
K1 0.0000 0.0000 0.0000
Ac1 0.0000 0.0000 0.5000
As1 0.0000 0.0000 0.2742
O1 0.0333 0.7415 0.2446
# formation energy (no corrections)	-173.3	kJ per mole of atoms
# raw total energy	-186.65	eV per cell